No. 1
Ba3Tl2Hg7: optimized geometry, GGA-PBE.

POSCAR file:
```
Ba3Tl2Hg7
1.0
4.300 0.000 0.000
2.114 6.642 0.000
0.191 -0.019 13.800
Ba Tl Hg
3 2 7
direct
0.000 0.000 0.000 Ba
0.054 0.915 0.343 Ba
0.946 0.085 0.657 Ba
0.348 0.291 0.190 Tl
0.652 0.709 0.810 Tl
0.240 0.526 0.654 Hg
0.334 0.276 0.839 Hg
0.364 0.266 0.468 Hg
0.500 0.500 0.000 Hg
0.636 0.734 0.532 Hg
0.666 0.724 0.161 Hg
0.760 0.474 0.346 Hg
```

Summary:
Calculated density in Mg/m³: 9.37
ΔH_f (0 K) in eV per atom: -0.34

No. 2
CsInNiBr6: optimized geometry, GGA-PBE.

POSCAR file:
```
CsInNiBr6
1.0
6.877 0.000 0.000
-3.439 5.956 0.000
0.000 0.000 8.274
Cs In Ni Br
1 1 1 6
direct
0.000 0.000 0.000 Cs
0.667 0.333 0.500 In
0.333 0.667 0.500 Ni
0.017 0.379 0.682 Br
0.017 0.638 0.318 Br
0.362 0.379 0.318 Br
0.362 0.983 0.682 Br
0.621 0.638 0.682 Br
0.621 0.983 0.318 Br
```

Summary:
Calculated density in Mg/m³: 3.85
E in eV per atom: -3.0305

No. 3
Ce3DyN: optimized geometry, GGA-PBE.

POSCAR file:
```
Ce3DyN
1.0
4.946 0.000 0.000
0.000 4.946 0.000
0.000 0.000 4.946
Ce Dy N
3 1 1
direct
0.000 0.000 0.500 Ce
0.000 0.500 0.000 Ce
0.500 0.000 0.000 Ce
0.500 0.500 0.500 Dy
0.000 0.000 0.000 N
```

Summary:
Calculated density in Mg/m³: 8.19
E in eV per atom: -6.6613

No. 4
TiS2Br: optimized geometry, GGA-PBE.

POSCAR file:
```
TiS2Br
1.0
0.000 3.264 3.264
3.264 0.000 3.264
3.264 3.264 0.000
Ti S Br
1 2 1
direct
0.000 0.000 0.000 Ti
0.250 0.250 0.250 S
0.750 0.750 0.750 S
0.500 0.500 0.500 Br
```

Summary:
Offset from the most stable computed form in eV per atom: 0.902
Calculated density in Mg/m³: 4.58

No. 5
KTl2CdPt: optimized geometry, GGA-PBE.

POSCAR file:
```
KTl2CdPt
1.0
5.390 0.000 0.000
0.000 5.390 0.000
0.000 0.000 5.389
K Tl Cd Pt
1 2 1 1
direct
0.000 0.000 0.000 K
0.000 0.500 0.500 Tl
0.500 0.000 0.500 Tl
0.500 0.500 0.000 Cd
0.500 0.500 0.500 Pt
```

Summary:
Offset from the most stable computed form in eV per atom: 0.000
Calculated density in Mg/m³: 8.01
ΔH_f (0 K) in eV per atom: -0.13

No. 6
HfTh2P3: optimized geometry, GGA-PBE.

POSCAR file:
```
HfTh2P3
1.0
3.454 -6.010 0.000
3.454 6.010 0.000
-2.328 0.000 6.512
Hf Th P
2 4 6
direct
0.168 0.832 0.000 Hf
0.832 0.168 0.000 Hf
0.000 0.000 0.500 Th
0.338 0.662 0.500 Th
0.500 0.500 0.000 Th
0.662 0.338 0.500 Th
0.072 0.422 0.768 P
0.224 0.224 0.225 P
0.422 0.072 0.768 P
0.578 0.928 0.232 P
0.776 0.776 0.775 P
0.928 0.578 0.232 P
```

Summary:
Calculated density in Mg/m³: 9.03
ΔH_f (0 K) in eV per atom: -1.41

No. 7
Cu2IrCF: optimized geometry, GGA-PBE.

POSCAR file:
```
Cu2IrCF
1.0
3.555 0.000 0.000
0.000 3.555 0.000
0.000 0.000 5.686
Cu Ir C F
2 1 1 1
direct
0.000 0.500 0.000 Cu
0.500 0.000 0.000 Cu
0.000 0.000 0.500 Ir
0.500 0.500 0.500 C
0.000 0.000 0.000 F
```

Summary:
Calculated density in Mg/m³: 8.09
E in eV per atom: -4.0889

No. 8
LaSn3Rh2: optimized geometry, GGA-PBE.

POSCAR file:
```
LaSn3Rh2
1.0
3.337 1.927 7.048
-3.337 1.927 7.048
0.000 -3.853 7.048
La Sn Rh
2 6 4
direct
0.221 0.221 0.221 La
0.779 0.779 0.779 La
0.247 0.740 0.740 Sn
0.260 0.260 0.753 Sn
0.260 0.753 0.260 Sn
0.740 0.247 0.740 Sn
0.740 0.740 0.247 Sn
0.753 0.260 0.260 Sn
0.000 0.000 0.000 Rh
0.000 0.500 0.500 Rh
0.500 0.000 0.500 Rh
0.500 0.500 0.000 Rh
```

Summary:
Offset from the most stable computed form in eV per atom: 0.144
Calculated density in Mg/m³: 8.56
ΔH_f (0 K) in eV per atom: -0.48

Please write out number 4 again, unchanged.
TiS2Br: optimized geometry, GGA-PBE.

POSCAR file:
```
TiS2Br
1.0
0.000 3.264 3.264
3.264 0.000 3.264
3.264 3.264 0.000
Ti S Br
1 2 1
direct
0.000 0.000 0.000 Ti
0.250 0.250 0.250 S
0.750 0.750 0.750 S
0.500 0.500 0.500 Br
```

Summary:
Offset from the most stable computed form in eV per atom: 0.902
Calculated density in Mg/m³: 4.58

Q: The highest calculated density belongs to which entry?
A: Ba3Tl2Hg7

Q: calculated density of number 6 (HfTh2P3)?
A: 9.03 Mg/m³

Q: Among the records above, which one has the highest calculated density?
A: Ba3Tl2Hg7